This record from the Alexandria database describes crystalline SrV2BiO8 at its relaxed geometry. The functional is PBE with a Hubbard U.

Results
Density in g cm⁻³: 4.2
Total moment in Bohr magnetons per cell: 0.0
Raw total energy in eV for the cell shown: -82.2

Cell lengths 5.9365, 5.9365, 6.8788 Å; angles 90.00, 90.00, 120.00 degrees
Fractional positions:
Sr (0.0000, 0.0000, 0.0000)
V (0.3333, 0.6667, 0.3498)
V (0.6667, 0.3333, 0.6502)
Bi (0.0000, 0.0000, 0.5000)
O (0.1665, 0.3331, 0.2732)
O (0.1665, 0.8335, 0.2732)
O (0.3331, 0.1665, 0.7268)
O (0.3333, 0.6667, 0.5878)
O (0.6667, 0.3333, 0.4122)
O (0.6669, 0.8335, 0.2732)
O (0.8335, 0.1665, 0.7268)
O (0.8335, 0.6669, 0.7268)